# PaInBr5

An optimized crystal structure of PaInBr5 (PBE, Alexandria via LeMat-Bulk).

Cell: 7.8872 7.8872 11.2669 Å, 70.30 70.30 70.26°
Closest atoms and distances in Å follow each position.
Positions (direct):
Br1 0.6873 0.8669 0.1245  1 Pa 2.75
Br2 0.0829 0.9171 0.2500  2 Pa 2.92
Br3 0.2200 0.6413 0.9895  1 Pa 2.79
Br4 0.7800 0.3587 0.0105  1 Pa 2.79
Br5 0.3127 0.1331 0.8755  1 Pa 2.75
Br6 0.1331 0.3127 0.3755  1 Pa 2.75
Br7 0.8669 0.6873 0.6245  1 Pa 2.75
Br8 0.3587 0.7800 0.5105  1 Pa 2.79
Br9 0.6413 0.2200 0.4895  1 Pa 2.79
Br10 0.9171 0.0829 0.7500  2 Pa 2.92
Pa1 0.0000 0.0000 0.5000  6 Br 2.75-2.92
Pa2 0.0000 0.0000 0.0000  6 Br 2.75-2.92
In1 0.5230 0.4770 0.7500  5 Br 3.25-3.58
In2 0.4770 0.5230 0.2500  5 Br 3.25-3.58

Calculated values
electronic total energy	-29.071	eV/f.u.

---

# SrCuNi2

An optimized crystal structure of SrCuNi2 (PBE, Alexandria via LeMat-Bulk).

Cell: 5.3944 5.3944 5.3944 Å, 146.40 128.09 63.27°
Closest atoms and distances in Å follow each position.
Positions (direct):
Ni1 0.2108 0.7108 0.5000  2 Ni 2.45
Ni2 0.0051 0.0051 0.0000  2 Ni 2.45, 2 Cu 2.54
Cu1 0.7868 0.2868 0.5000  2 Ni 2.54
Sr1 0.4974 0.4974 0.0000  8 Ni 2.83-3.07, 4 Cu 3.05-3.08, 2 Sr 3.12

Calculated values
electronic total energy	-15.890	eV/f.u.

---

# Rb2In2Au3

An optimized crystal structure of Rb2In2Au3 (PBE, Alexandria via LeMat-Bulk).

Cell: 7.8568 7.7698 9.0787 Å, 90.00 67.08 90.00°
Closest atoms and distances in Å follow each position.
Positions (direct):
In1 0.3441 0.8944 0.9595  4 Au 2.71-2.80
In2 0.6559 0.3944 0.5405  4 Au 2.71-2.80
In3 0.3441 0.6056 0.4595  4 Au 2.71-2.80
In4 0.6559 0.1056 0.0405  4 Au 2.71-2.80
Au1 0.5762 0.1523 0.7720  3 In 2.71-2.80
Au2 0.5762 0.3477 0.2720  3 In 2.71-2.80
Au3 0.4238 0.6523 0.7280  3 In 2.71-2.80
Au4 0.0000 0.0000 0.0000  2 In 2.71
Au5 0.4238 0.8477 0.2280  3 In 2.71-2.80
Au6 0.0000 0.5000 0.5000  2 In 2.71
Rb1 0.2070 0.1112 0.5979  5 Au 3.48-3.82
Rb2 0.2070 0.3888 0.0979  5 Au 3.48-3.82
Rb3 0.7930 0.8888 0.4021  5 Au 3.48-3.82
Rb4 0.7930 0.6112 0.9021  5 Au 3.48-3.82

Calculated values
electronic total energy	-19.020	eV/f.u.

---

# BeGeS3

An optimized crystal structure of BeGeS3 (PBE, Alexandria via LeMat-Bulk).

Cell: 4.3651 4.3651 4.3651 Å, 90.00 90.00 90.00°
Closest atoms and distances in Å follow each position.
Positions (direct):
S1 0.0000 0.0000 0.5000  2 Be 2.18
S2 0.0000 0.5000 0.0000  2 Be 2.18
S3 0.5000 0.0000 0.0000  2 Be 2.18
Be1 0.0000 0.0000 0.0000  6 S 2.18
Ge1 0.5000 0.5000 0.5000  12 S 3.09

Calculated values
electronic total energy	-19.610	eV/f.u.

---

# KZn2Ga2

An optimized crystal structure of KZn2Ga2 (PBE, Alexandria via LeMat-Bulk).

Cell: 4.4425 4.4425 6.3843 Å, 69.64 69.64 90.00°
Closest atoms and distances in Å follow each position.
Positions (direct):
Zn1 0.7500 0.2500 0.5000  4 Ga 2.64
Zn2 0.2500 0.7500 0.5000  4 Ga 2.64
Ga1 0.6213 0.6213 0.7574  4 Zn 2.64, 1 Ga 2.70
Ga2 0.3787 0.3787 0.2426  4 Zn 2.64, 1 Ga 2.70
K1 0.0000 0.0000 0.0000  8 Ga 3.42, 8 Zn 3.56

Calculated values
electronic total energy	-9.911	eV/f.u.

---

# La2CoN

An optimized crystal structure of La2CoN (PBE, Alexandria via LeMat-Bulk).

Cell: 3.8697 5.3481 3.8767 Å, 90.00 91.10 90.00°
Closest atoms and distances in Å follow each position.
Positions (direct):
La1 0.5030 0.0000 0.4752  2 N 2.68, 4 Co 2.70-2.80
La2 0.9875 0.5000 0.0047  2 N 2.50-2.64, 2 Co 2.68
Co1 0.9979 0.0000 0.9835  6 La 2.68-2.80
N1 0.5194 0.5000 0.4410  4 La 2.50-2.68

Calculated values
electronic total energy	-27.266	eV/f.u.